Below is an optimized crystal structure of Ta4Al9, with properties calculated at the PBE-GGA level.

Computed properties:
**Total moment**: 0.000 μB/atom
**Uncorrected energy**: -6.417 eV per atom

a b c (Å): 5.1464 5.1464 27.2944
angles (deg): 90.00 90.00 120.00
Space group R-3m (No. 166, hexagonal axes)
Inequivalent atoms, fractional coordinates:
Ta  0.0000  0.0000  0.1510 [6 per cell]
Ta  0.0000  0.0000  0.3338 [6 per cell]
Al  0.0000  0.0000  0.0460 [6 per cell]
Al  0.0000  0.0000  0.5000 [3 per cell]
Al  0.0054  0.5027  0.9110 [18 per cell]

Below is an optimized crystal structure of ScNbN2O, with properties calculated at the PBE-GGA level.

Computed properties:
**Total moment**: 0.000 μB/atom
**Uncorrected energy**: -9.298 eV per atom

a b c (Å): 7.641 5.334 5.630
angles (deg): 90.00 90.00 90.00
Space group Pmc2_1 (No. 26)
Inequivalent atoms, fractional coordinates:
Sc  0.000  0.231  0.000 [2 per cell]
Sc  0.500  0.244  0.122 [2 per cell]
Nb  0.260  0.245  0.576 [4 per cell]
N  0.000  0.142  0.603 [2 per cell]
N  0.314  0.067  0.869 [4 per cell]
N  0.500  0.389  0.483 [2 per cell]
O  0.187  0.416  0.214 [4 per cell]

Below is an optimized crystal structure of YNiSbPd, with properties calculated at the PBE-GGA level.

Computed properties:
**Total moment**: 0.000 μB/atom
**Uncorrected energy**: -5.977 eV per atom

a b c (Å): 6.683 6.683 6.683
angles (deg): 90.00 90.00 90.00
Space group F-43m (No. 216)
Inequivalent atoms, fractional coordinates:
Y  0.000  0.000  0.000 [4 per cell]
Ni  0.250  0.250  0.750 [4 per cell]
Sb  0.000  0.000  0.500 [4 per cell]
Pd  0.250  0.250  0.250 [4 per cell]

Below is an optimized crystal structure of PdWAu2, with properties calculated at the PBE-GGA level.

Computed properties:
**Total moment**: 0.000 μB/atom
**Energy relative to the elements**: 0.376 eV/atom

a b c (Å): 6.436 6.436 6.436
angles (deg): 90.00 90.00 90.00
Space group F-43m (No. 216)
Inequivalent atoms, fractional coordinates:
Pd  0.000  0.000  0.000 [4 per cell]
W  0.250  0.250  0.250 [4 per cell]
Au  0.000  0.000  0.500 [4 per cell]
Au  0.250  0.250  0.750 [4 per cell]

Below is an optimized crystal structure of AgTePbF, with properties calculated at the PBE-GGA level.

Computed properties:
**Uncorrected energy**: -3.750 eV per atom

a b c (Å): 9.397 18.398 4.863
angles (deg): 90.00 90.00 90.00
Space group Pbam (No. 55)
Inequivalent atoms, fractional coordinates:
Ag  0.076  0.083  0.000 [4 per cell]
Ag  0.114  0.657  0.000 [4 per cell]
Te  0.002  0.870  0.500 [4 per cell]
Te  0.016  0.621  0.500 [4 per cell]
Pb  0.223  0.261  0.500 [4 per cell]
Pb  0.243  0.488  0.500 [4 per cell]
F  0.222  0.261  0.000 [4 per cell]
F  0.244  0.486  0.000 [4 per cell]

Below is an optimized crystal structure of NdGdSe2F2, with properties calculated at the PBE-GGA level.

Computed properties:
**Total moment**: 0.000 μB/atom
**Uncorrected energy**: -6.230 eV per atom

a b c (Å): 3.937 3.937 7.105
angles (deg): 90.00 90.00 90.00
Space group P4mm (No. 99)
Inequivalent atoms, fractional coordinates:
Nd  0.000  0.000  0.000 [1 per cell]
Gd  0.500  0.500  0.435 [1 per cell]
Se  0.000  0.000  0.571 [1 per cell]
Se  0.500  0.500  0.854 [1 per cell]
F  0.000  0.500  0.221 [2 per cell]

Below is an optimized crystal structure of Zr4TlB3, with properties calculated at the PBE-GGA level.

Computed properties:
**Total moment**: 0.000 μB/atom
**Uncorrected energy**: -7.469 eV per atom

a b c (Å): 3.4631 3.4631 26.8913
angles (deg): 90.00 90.00 120.00
Space group P6_3/mmc (No. 194)
Inequivalent atoms, fractional coordinates:
Zr  0.0000  0.0000  0.1540 [4 per cell]
Zr  0.3333  0.6667  0.0541 [4 per cell]
Tl  0.3333  0.6667  0.2500 [2 per cell]
B  0.0000  0.0000  0.0000 [2 per cell]
B  0.3333  0.6667  0.6080 [4 per cell]

Below is an optimized crystal structure of GdGaB4, with properties calculated at the PBE-GGA level.

Computed properties:
**Total moment**: 0.000 μB/atom
**Uncorrected energy**: -5.889 eV per atom

a b c (Å): 3.203 5.190 8.112
angles (deg): 90.00 90.00 90.00
Space group Immm (No. 71)
Inequivalent atoms, fractional coordinates:
Gd  0.000  0.000  0.000 [2 per cell]
Ga  0.000  0.000  0.500 [2 per cell]
B  0.000  0.325  0.262 [8 per cell]

Below is an optimized crystal structure of LaSnPPt2, with properties calculated at the PBE-GGA level.

Computed properties:
**Total moment**: 0.000 μB/atom
**Uncorrected energy**: -6.266 eV per atom

a b c (Å): 4.525 4.525 10.137
angles (deg): 90.00 90.00 90.00
Space group P4/nmm (No. 129, origin choice 2)
Inequivalent atoms, fractional coordinates:
La  0.250  0.250  0.231 [2 per cell]
Sn  0.250  0.250  0.642 [2 per cell]
P  0.250  0.750  0.000 [2 per cell]
Pt  0.250  0.250  0.908 [2 per cell]
Pt  0.250  0.750  0.500 [2 per cell]

Below is an optimized crystal structure of DyNi4Ag, with properties calculated at the PBE-GGA level.

Computed properties:
**Total moment**: 0.157 μB/atom
**Energy relative to the elements**: -0.306 eV/atom

a b c (Å): 6.966 6.966 6.966
angles (deg): 90.00 90.00 90.00
Space group F-43m (No. 216)
Inequivalent atoms, fractional coordinates:
Dy  0.000  0.000  0.000 [4 per cell]
Ni  0.124  0.124  0.624 [16 per cell]
Ag  0.250  0.250  0.250 [4 per cell]

Below is an optimized crystal structure of NaHoO3, with properties calculated at the PBE-GGA level.

Computed properties:
**Total moment**: 0.399 μB/atom
**Uncorrected energy**: -5.939 eV per atom

a b c (Å): 4.262 4.262 4.446
angles (deg): 90.00 90.00 90.00
Space group P4mm (No. 99)
Inequivalent atoms, fractional coordinates:
Na  0.000  0.000  0.000 [1 per cell]
Ho  0.500  0.500  0.627 [1 per cell]
O  0.000  0.500  0.725 [2 per cell]
O  0.500  0.500  0.129 [1 per cell]

Below is an optimized crystal structure of BeReOs2, with properties calculated at the PBE-GGA level.

Computed properties:
**Total moment**: 0.000 μB/atom
**Uncorrected energy**: -9.326 eV per atom

a b c (Å): 5.998 5.998 5.998
angles (deg): 90.00 90.00 90.00
Space group F-43m (No. 216)
Inequivalent atoms, fractional coordinates:
Be  0.000  0.000  0.000 [4 per cell]
Re  0.250  0.250  0.250 [4 per cell]
Os  0.000  0.000  0.500 [4 per cell]
Os  0.250  0.250  0.750 [4 per cell]